VASP calculation (GGA-PBE) on an optimized crystal structure of ZrScN.

a = 5.246 Å, b = 5.659 Å, c = 6.419 Å
α = 90.77°, β = 90.00°, γ = 90.00°
Element x y z (fractional)
N  0.503  0.255  0.625
N  0.497  0.745  0.375
N  0.003  0.745  0.875
N  0.997  0.255  0.125
Sc  0.730  0.411  0.368
Sc  0.230  0.589  0.132
Sc  0.270  0.589  0.632
Sc  0.770  0.411  0.868
Zr  0.251  0.081  0.379
Zr  0.249  0.081  0.879
Zr  0.749  0.919  0.621
Zr  0.751  0.919  0.121

Calculated values
As for the energy relative to the lowest polymorph listed for this composition: 0.064 eV per atom. The space group is P2_1/c.


VASP calculation (GGA-PBE) on an optimized crystal structure of Zr4ScN4.

a = 4.609 Å, b = 5.655 Å, c = 5.656 Å
α = 80.41°, β = 65.91°, γ = 65.87°
Element x y z (fractional)
N  0.298  0.801  0.603
N  0.099  0.603  0.199
N  0.702  0.199  0.397
N  0.901  0.397  0.801
Sc  0.000  0.000  0.000
Zr  0.611  0.577  0.201
Zr  0.389  0.423  0.799
Zr  0.188  0.201  0.423
Zr  0.812  0.799  0.577

Calculated values
The space group is P-1.


| no. | uncorrected formation energy (eV per formula unit) |
| --- | --- |
| 1 | -3.50 |
| 2 | -14.17 |